No. 1
Here is a relaxed In5Ag3Hg12 crystal from Alexandria. Energies are from PBE.

Cell lengths 14.6797, 14.6797, 14.6797 Å; angles 109.47, 109.47, 109.47 degrees
With the nearest neighbours (Å) after each atom.
Fractional positions:
Hg (0.6655, 0.2361, 0.5949)  2 In 2.88-2.96, 2 Ag 2.88-3.17, 1 Hg 2.98
Hg (0.3345, 0.7639, 0.4051)  2 In 2.88-2.96, 2 Ag 2.88-3.17, 1 Hg 2.98
Hg (0.5706, 0.2361, 0.1412)  2 In 2.88-2.96, 2 Ag 2.88-3.17, 1 Hg 2.98
Hg (0.0706, 0.6412, 0.7361)  2 In 2.88-2.96, 2 Ag 2.88-3.17, 1 Hg 2.98
Hg (0.5949, 0.8588, 0.4294)  2 In 2.88-2.96, 2 Ag 2.88-3.17, 1 Hg 2.98
Hg (0.0706, 0.1655, 0.4294)  2 In 2.88-2.96, 2 Ag 2.88-3.17, 1 Hg 2.98
Hg (0.7639, 0.4294, 0.3588)  2 In 2.88-2.96, 2 Ag 2.88-3.17, 1 Hg 2.98
Hg (0.0949, 0.9294, 0.3588)  2 In 2.88-2.96, 2 Ag 2.88-3.17, 1 Hg 2.98
Hg (0.3588, 0.9294, 0.7639)  2 In 2.88-2.96, 2 Ag 2.88-3.17, 1 Hg 2.98
Hg (0.4294, 0.0706, 0.3345)  2 In 2.88-2.96, 2 Ag 2.88-3.17, 1 Hg 2.98
Hg (0.0949, 0.1655, 0.2361)  2 In 2.88-2.96, 2 Ag 2.88-3.17, 1 Hg 2.98
Hg (0.2361, 0.6655, 0.0949)  2 In 2.88-2.96, 2 Ag 2.88-3.17, 1 Hg 2.98
Hg (0.8588, 0.5949, 0.9294)  2 In 2.88-2.96, 2 Ag 2.88-3.17, 1 Hg 2.98
Hg (0.5706, 0.6412, 0.4051)  2 In 2.88-2.96, 2 Ag 2.88-3.17, 1 Hg 2.98
Hg (0.1412, 0.4051, 0.0706)  2 In 2.88-2.96, 2 Ag 2.88-3.17, 1 Hg 2.98
Hg (0.6412, 0.5706, 0.9051)  2 In 2.88-2.96, 2 Ag 2.88-3.17, 1 Hg 2.98
Hg (0.5706, 0.9294, 0.6655)  2 In 2.88-2.96, 2 Ag 2.88-3.17, 1 Hg 2.98
Hg (0.1655, 0.0949, 0.7361)  2 In 2.88-2.96, 2 Ag 2.88-3.17, 1 Hg 2.98
Hg (0.4051, 0.2639, 0.3345)  2 In 2.88-2.96, 2 Ag 2.88-3.17, 1 Hg 2.98
Hg (0.9294, 0.5706, 0.1655)  2 In 2.88-2.96, 2 Ag 2.88-3.17, 1 Hg 2.98
Hg (0.9051, 0.0706, 0.6412)  2 In 2.88-2.96, 2 Ag 2.88-3.17, 1 Hg 2.98
Hg (0.4294, 0.6655, 0.0706)  2 In 2.88-2.96, 2 Ag 2.88-3.17, 1 Hg 2.98
Hg (0.1412, 0.7361, 0.5706)  2 In 2.88-2.96, 2 Ag 2.88-3.17, 1 Hg 2.98
Hg (0.6655, 0.4294, 0.5706)  2 In 2.88-2.96, 2 Ag 2.88-3.17, 1 Hg 2.98
Hg (0.0706, 0.9051, 0.1412)  2 In 2.88-2.96, 2 Ag 2.88-3.17, 1 Hg 2.98
Hg (0.9294, 0.3588, 0.2639)  2 In 2.88-2.96, 2 Ag 2.88-3.17, 1 Hg 2.98
Hg (0.0706, 0.4294, 0.8345)  2 In 2.88-2.96, 2 Ag 2.88-3.17, 1 Hg 2.98
Hg (0.7361, 0.5949, 0.1655)  2 In 2.88-2.96, 2 Ag 2.88-3.17, 1 Hg 2.98
Hg (0.3345, 0.5706, 0.4294)  2 In 2.88-2.96, 2 Ag 2.88-3.17, 1 Hg 2.98
Hg (0.9294, 0.8345, 0.5706)  2 In 2.88-2.96, 2 Ag 2.88-3.17, 1 Hg 2.98
Hg (0.1655, 0.0706, 0.9294)  2 In 2.88-2.96, 2 Ag 2.88-3.17, 1 Hg 2.98
Hg (0.2361, 0.5706, 0.6412)  2 In 2.88-2.96, 2 Ag 2.88-3.17, 1 Hg 2.98
Hg (0.5949, 0.7361, 0.6655)  2 In 2.88-2.96, 2 Ag 2.88-3.17, 1 Hg 2.98
Hg (0.7639, 0.3345, 0.9051)  2 In 2.88-2.96, 2 Ag 2.88-3.17, 1 Hg 2.98
Hg (0.4294, 0.3588, 0.5949)  2 In 2.88-2.96, 2 Ag 2.88-3.17, 1 Hg 2.98
Hg (0.2639, 0.8588, 0.9294)  2 In 2.88-2.96, 2 Ag 2.88-3.17, 1 Hg 2.98
Hg (0.8345, 0.9051, 0.2639)  2 In 2.88-2.96, 2 Ag 2.88-3.17, 1 Hg 2.98
Hg (0.4294, 0.7639, 0.8588)  2 In 2.88-2.96, 2 Ag 2.88-3.17, 1 Hg 2.98
Hg (0.3588, 0.4294, 0.0949)  2 In 2.88-2.96, 2 Ag 2.88-3.17, 1 Hg 2.98
Hg (0.7361, 0.1412, 0.0706)  2 In 2.88-2.96, 2 Ag 2.88-3.17, 1 Hg 2.98
Hg (0.5706, 0.3345, 0.9294)  2 In 2.88-2.96, 2 Ag 2.88-3.17, 1 Hg 2.98
Hg (0.2639, 0.4051, 0.8345)  2 In 2.88-2.96, 2 Ag 2.88-3.17, 1 Hg 2.98
Hg (0.9294, 0.0949, 0.8588)  2 In 2.88-2.96, 2 Ag 2.88-3.17, 1 Hg 2.98
Hg (0.6412, 0.0706, 0.2361)  2 In 2.88-2.96, 2 Ag 2.88-3.17, 1 Hg 2.98
Hg (0.8588, 0.2639, 0.4294)  2 In 2.88-2.96, 2 Ag 2.88-3.17, 1 Hg 2.98
Hg (0.8345, 0.9294, 0.0706)  2 In 2.88-2.96, 2 Ag 2.88-3.17, 1 Hg 2.98
Hg (0.9051, 0.8345, 0.7639)  2 In 2.88-2.96, 2 Ag 2.88-3.17, 1 Hg 2.98
Hg (0.4051, 0.1412, 0.5706)  2 In 2.88-2.96, 2 Ag 2.88-3.17, 1 Hg 2.98
In (0.5000, 0.5000, 0.5000)  6 Hg 2.96
In (0.6250, 0.8750, 0.2500)  4 Hg 2.88
In (0.3750, 0.1250, 0.7500)  4 Hg 2.88
In (0.0000, 0.0000, 0.5000)  6 Hg 2.96
In (0.0000, 0.5000, 0.5000)  6 Hg 2.96
In (0.5000, 0.5000, 0.0000)  6 Hg 2.96
In (0.6250, 0.7500, 0.8750)  4 Hg 2.88
In (0.7500, 0.6250, 0.3750)  4 Hg 2.88
In (0.5000, 0.0000, 0.5000)  6 Hg 2.96
In (0.0000, 0.0000, 0.0000)  6 Hg 2.96
In (0.3750, 0.2500, 0.1250)  4 Hg 2.88
In (0.5000, 0.0000, 0.0000)  6 Hg 2.96
In (0.0000, 0.5000, 0.0000)  6 Hg 2.96
In (0.2500, 0.8750, 0.1250)  4 Hg 2.88
In (0.8750, 0.6250, 0.7500)  4 Hg 2.88
In (0.2500, 0.3750, 0.6250)  4 Hg 2.88
In (0.1250, 0.7500, 0.3750)  4 Hg 2.88
In (0.8750, 0.2500, 0.6250)  4 Hg 2.88
In (0.7500, 0.1250, 0.8750)  4 Hg 2.88
In (0.1250, 0.3750, 0.2500)  4 Hg 2.88
Ag (0.2500, 0.6250, 0.8750)  8 Hg 2.88-3.17
Ag (0.7500, 0.3750, 0.1250)  8 Hg 2.88-3.17
Ag (0.3750, 0.7500, 0.6250)  8 Hg 2.88-3.17
Ag (0.8750, 0.1250, 0.2500)  8 Hg 2.88-3.17
Ag (0.7500, 0.8750, 0.6250)  8 Hg 2.88-3.17
Ag (0.1250, 0.2500, 0.8750)  8 Hg 2.88-3.17
Ag (0.6250, 0.3750, 0.7500)  8 Hg 2.88-3.17
Ag (0.2500, 0.1250, 0.3750)  8 Hg 2.88-3.17
Ag (0.1250, 0.8750, 0.7500)  8 Hg 2.88-3.17
Ag (0.3750, 0.6250, 0.2500)  8 Hg 2.88-3.17
Ag (0.8750, 0.7500, 0.1250)  8 Hg 2.88-3.17
Ag (0.6250, 0.2500, 0.3750)  8 Hg 2.88-3.17

ΔH_f (0 K)	0.156	eV/atom
space group	Ia-3d, No. 230


No. 2
Here is a relaxed CeYTc4 crystal from Alexandria. Energies are from PBE.

Cell lengths 5.4263, 5.4263, 5.4263 Å; angles 60.00, 60.00, 60.00 degrees
With the nearest neighbours (Å) after each atom.
Fractional positions:
Ce (0.2500, 0.2500, 0.2500)  12 Tc 3.18, 4 Y 3.32
Tc (0.6251, 0.6251, 0.6251)  6 Tc 2.71-2.72
Tc (0.6251, 0.6251, 0.1247)  6 Tc 2.71-2.72
Tc (0.6251, 0.1247, 0.6251)  6 Tc 2.71-2.72
Tc (0.1247, 0.6251, 0.6251)  6 Tc 2.71-2.72
Y (0.0000, 0.0000, 0.0000)  12 Tc 3.18, 4 Ce 3.32

ΔH_f (0 K)	-0.061	eV/atom
space group	F-43m, No. 216


No. 3
Here is a relaxed AcSc3O crystal from Alexandria. Energies are from PBE.

Cell lengths 4.7478, 4.7478, 4.7478 Å; angles 90.00, 90.00, 90.00 degrees
With the nearest neighbours (Å) after each atom.
Fractional positions:
Sc (0.0000, 0.0000, 0.5000)  2 O 2.37
Sc (0.0000, 0.5000, 0.0000)  2 O 2.37
Sc (0.5000, 0.0000, 0.0000)  2 O 2.37
Ac (0.5000, 0.5000, 0.5000)  12 Sc 3.36
O (0.0000, 0.0000, 0.0000)  6 Sc 2.37

space group	Pm-3m, No. 221
energy	-6.47	eV/atom


No. 4
Here is a relaxed DyPuCrRu crystal from Alexandria. Energies are from PBE.

Cell lengths 4.8303, 4.8303, 4.8303 Å; angles 60.00, 60.00, 60.00 degrees
With the nearest neighbours (Å) after each atom.
Fractional positions:
Pu (0.0000, 0.0000, 0.0000)  4 Ru 2.96, 4 Cr 2.96
Cr (0.7500, 0.7500, 0.7500)  4 Dy 2.96, 4 Pu 2.96
Ru (0.2500, 0.2500, 0.2500)  4 Dy 2.96, 4 Pu 2.96
Dy (0.5000, 0.5000, 0.5000)  4 Cr 2.96, 4 Ru 2.96

ΔH_f (0 K)	0.028	eV/atom
space group	F-43m, No. 216


No. 5
Here is a relaxed Ba2Ca2Ga crystal from Alexandria. Energies are from PBE.

Cell lengths 8.1952, 8.1952, 6.4684 Å; angles 90.00, 90.00, 90.00 degrees
With the nearest neighbours (Å) after each atom.
Fractional positions:
Ga (0.5000, 0.5000, 0.0000)  4 Ca 3.09
Ga (0.0000, 0.0000, 0.0000)  4 Ca 3.09
Ca (0.8434, 0.6566, 0.0000)  2 Ga 3.09
Ca (0.1566, 0.3434, 0.0000)  2 Ga 3.09
Ca (0.3434, 0.8434, 0.0000)  2 Ga 3.09
Ca (0.6566, 0.1566, 0.0000)  2 Ga 3.09
Ba (0.8197, 0.3197, 0.5000)  2 Ca 3.75, 1 Ba 4.18
Ba (0.1803, 0.6803, 0.5000)  2 Ca 3.75, 1 Ba 4.18
Ba (0.6803, 0.8197, 0.5000)  2 Ca 3.75, 1 Ba 4.18
Ba (0.3197, 0.1803, 0.5000)  2 Ca 3.75, 1 Ba 4.18

ΔH_f (0 K)	-0.013	eV/atom
space group	P4/mbm, No. 127


No. 6
Here is a relaxed KPaSbO6 crystal from Alexandria. Energies are from PBE.

Cell lengths 5.6800, 5.6800, 11.7742 Å; angles 90.00, 90.00, 120.00 degrees
With the nearest neighbours (Å) after each atom.
Fractional positions:
O (0.0212, 0.6309, 0.8452)  1 Sb 2.02, 1 Pa 2.18
O (0.6097, 0.6309, 0.6548)  1 Sb 2.02, 1 Pa 2.18
O (0.9788, 0.6097, 0.3452)  1 Sb 2.02, 1 Pa 2.18
O (0.3903, 0.0212, 0.1548)  1 Sb 2.02, 1 Pa 2.18
O (0.3903, 0.3691, 0.3452)  1 Sb 2.02, 1 Pa 2.18
O (0.0212, 0.3903, 0.6548)  1 Sb 2.02, 1 Pa 2.18
O (0.9788, 0.3691, 0.1548)  1 Sb 2.02, 1 Pa 2.18
O (0.3691, 0.3903, 0.8452)  1 Sb 2.02, 1 Pa 2.18
O (0.3691, 0.9788, 0.6548)  1 Sb 2.02, 1 Pa 2.18
O (0.6309, 0.0212, 0.3452)  1 Sb 2.02, 1 Pa 2.18
O (0.6097, 0.9788, 0.8452)  1 Sb 2.02, 1 Pa 2.18
O (0.6309, 0.6097, 0.1548)  1 Sb 2.02, 1 Pa 2.18
K (0.0000, 0.0000, 0.0000)  6 O 2.83
K (0.0000, 0.0000, 0.5000)  6 O 2.83
Pa (0.3333, 0.6667, 0.2500)  6 O 2.18
Pa (0.6667, 0.3333, 0.7500)  6 O 2.18
Sb (0.3333, 0.6667, 0.7500)  6 O 2.02
Sb (0.6667, 0.3333, 0.2500)  6 O 2.02

space group	P-31c, No. 163
energy	-7.03	eV/atom


No. 7
Here is a relaxed CaSm8Dy6 crystal from Alexandria. Energies are from PBE.

Cell lengths 8.2418, 8.2418, 8.2418 Å; angles 72.31, 72.31, 72.31 degrees
With the nearest neighbours (Å) after each atom.
Fractional positions:
Dy (0.4360, 0.6178, 0.1754)  7 Sm 3.40-3.77, 3 Dy 3.68-3.74
Dy (0.3822, 0.8246, 0.5640)  7 Sm 3.40-3.77, 3 Dy 3.68-3.74
Dy (0.8246, 0.5640, 0.3822)  7 Sm 3.40-3.77, 3 Dy 3.68-3.74
Dy (0.1754, 0.4360, 0.6178)  7 Sm 3.40-3.77, 3 Dy 3.68-3.74
Dy (0.6178, 0.1754, 0.4360)  7 Sm 3.40-3.77, 3 Dy 3.68-3.74
Dy (0.5640, 0.3822, 0.8246)  7 Sm 3.40-3.77, 3 Dy 3.68-3.74
Sm (0.2389, 0.2389, 0.2389)  6 Sm 3.37-3.60, 6 Dy 3.76-3.77
Sm (0.7611, 0.7611, 0.7611)  6 Sm 3.37-3.60, 6 Dy 3.76-3.77
Sm (0.1372, 0.6208, 0.9486)  1 Ca 3.10, 2 Sm 3.22-3.37, 2 Dy 3.40-3.45
Sm (0.3792, 0.0514, 0.8628)  1 Ca 3.10, 2 Sm 3.22-3.37, 2 Dy 3.40-3.45
Sm (0.0514, 0.8628, 0.3792)  1 Ca 3.10, 2 Sm 3.22-3.37, 2 Dy 3.40-3.45
Sm (0.6208, 0.9486, 0.1372)  1 Ca 3.10, 2 Sm 3.22-3.37, 2 Dy 3.40-3.45
Sm (0.8628, 0.3792, 0.0514)  1 Ca 3.10, 2 Sm 3.22-3.37, 2 Dy 3.40-3.45
Sm (0.9486, 0.1372, 0.6208)  1 Ca 3.10, 2 Sm 3.22-3.37, 2 Dy 3.40-3.45
Ca (0.0000, 0.0000, 0.0000)  6 Sm 3.10

ΔH_f (0 K)	0.179	eV/atom
space group	R-3, No. 148


No. 8
Here is a relaxed BaAl2I8 crystal from Alexandria. Energies are from PBE.

Cell lengths 11.7281, 12.0429, 12.4710 Å; angles 56.49, 61.95, 60.86 degrees
With the nearest neighbours (Å) after each atom.
Fractional positions:
I (0.6282, 0.4719, 0.8091)  1 Al 2.58
I (0.7351, 0.8328, 0.5012)  1 Al 2.58
I (0.5515, 0.2730, 0.5131)  1 Al 2.50
I (0.0908, 0.9719, 0.3091)  1 Al 2.58
I (0.7814, 0.0168, 0.0659)  1 Al 2.64
I (0.9092, 0.0281, 0.6909)  1 Al 2.58
I (0.3718, 0.5281, 0.1909)  1 Al 2.58
I (0.2649, 0.1672, 0.4988)  1 Al 2.58
I (0.1360, 0.5168, 0.5659)  1 Al 2.64
I (0.3376, 0.2270, 0.9869)  1 Al 2.50
I (0.0692, 0.6672, 0.9988)  1 Al 2.58
I (0.6624, 0.7730, 0.0131)  1 Al 2.50
I (0.4485, 0.7270, 0.4869)  1 Al 2.50
I (0.8640, 0.4832, 0.4341)  1 Al 2.64
I (0.2186, 0.9832, 0.9341)  1 Al 2.64
I (0.9308, 0.3328, 0.0012)  1 Al 2.58
Ba (0.0329, 0.7500, 0.2500)  8 I 3.54-3.72
Ba (0.9671, 0.2500, 0.7500)  8 I 3.54-3.72
Al (0.8494, 0.8637, 0.9425)  4 I 2.50-2.64
Al (0.6556, 0.6363, 0.5575)  4 I 2.50-2.64
Al (0.3444, 0.3637, 0.4425)  4 I 2.50-2.64
Al (0.1506, 0.1363, 0.0575)  4 I 2.50-2.64

space group	C2/c, No. 15
energy	-2.98	eV/atom